No. 1
# ZnHgH2

A crystal of ZnHgH2 relaxed with PBEsol (meta-GGA SCAN, the Alexandria database).

Output
SG ... Fd-3m (227)
Magnetic moment ... 0.000 μB per formula unit
Calculated volume ... 14.04 Å³ per atom
Electronic total energy ... -88.097 eV per formula unit

Unit cell a=5.4159 b=5.4159 c=5.4159 alpha=60.00 beta=60.00 gamma=60.00
Last column: nearest neighbours and their distance in Å.
Fractional positions:
Zn 0.2500 0.2500 0.2500  4 H 1.66
Zn 0.0000 0.0000 0.0000  4 H 1.66
Hg 0.5000 0.5000 0.5000  12 H 3.18, 4 Zn 3.32, 4 Hg 3.32
Hg 0.7500 0.7500 0.7500  12 H 3.18, 4 Hg 3.32, 4 Zn 3.32
H 0.1250 0.6250 0.1250  2 Zn 1.66
H 0.1250 0.1250 0.6250  2 Zn 1.66
H 0.6250 0.1250 0.1250  2 Zn 1.66
H 0.1250 0.1250 0.1250  2 Zn 1.66

No. 2
# Zr2HgH

A crystal of Zr2HgH relaxed with PBEsol (meta-GGA SCAN, the Alexandria database).

Output
SG ... Fm-3m (225)
Magnetic moment ... 0.000 μB per formula unit
Calculated volume ... 17.84 Å³ per atom
Electronic total energy ... -132.660 eV per formula unit

Unit cell a=4.6555 b=4.6555 c=4.6555 alpha=60.00 beta=60.00 gamma=60.00
Last column: nearest neighbours and their distance in Å.
Fractional positions:
H 0.0000 0.0000 0.0000  8 Zr 2.85
Zr 0.2500 0.2500 0.2500  4 Hg 2.85, 4 H 2.85
Zr 0.7500 0.7500 0.7500  4 Hg 2.85, 4 H 2.85
Hg 0.5000 0.5000 0.5000  8 Zr 2.85